## Cu2TePt (GGA-PBE)

Data for a relaxed structure of Cu2TePt.

```
Cu2TePt
1.0
-0.234 3.266 2.485
-2.323 -1.269 1.449
2.425 -3.127 4.339
Cu Pt Te
2 1 1
direct
0.000 0.302 0.039
0.500 0.170 0.290
0.000 0.607 0.421
0.500 0.421 0.750
```

Summary:
DOS at the Fermi energy   1.65 states/eV/f.u.
Total magnetic moment   0.00 μB/f.u.
Calculated volume   17.6 Å³/atom
ΔE_f (raw)   76 meV/atom